a:
Material: Cs3BaGa
Method: DFT, PBE-GGA
State: relaxed

Cell lengths 7.3885, 7.3885, 7.3885 Å; angles 90.00, 90.00, 90.00 degrees
Positions (direct):
Cs  0.0000  0.0000  0.5000
Cs  0.0000  0.5000  0.0000
Cs  0.5000  0.0000  0.0000
Ba  0.5000  0.5000  0.5000
Ga  0.0000  0.0000  0.0000

=====

b:
Material: Cs3BaGa
Method: DFT, PBE-GGA
State: relaxed

Cell lengths 8.0949, 8.0949, 8.0949 Å; angles 90.00, 90.00, 90.00 degrees
Positions (direct):
Cs  0.0000  0.0000  0.5000
Cs  0.0000  0.5000  0.0000
Cs  0.5000  0.0000  0.0000
Ba  0.0000  0.0000  0.0000
Ga  0.5000  0.5000  0.5000

=====

The data favor a; the next most stable structure lies 0.483 eV/atom above it.

=====

a:
Material: CsBaGa3
Method: DFT, PBE-GGA
State: relaxed

Cell lengths 6.2393, 6.2393, 6.2393 Å; angles 90.00, 90.00, 90.00 degrees
Positions (direct):
Cs  0.0000  0.0000  0.0000
Ba  0.5000  0.5000  0.5000
Ga  0.0000  0.5000  0.5000
Ga  0.5000  0.0000  0.5000
Ga  0.5000  0.5000  0.0000

=====

b:
Material: CsBaGa3
Method: DFT, PBE-GGA
State: relaxed

Cell lengths 5.9558, 5.9558, 5.9558 Å; angles 90.00, 90.00, 90.00 degrees
Positions (direct):
Cs  0.0000  0.0000  0.0000
Ba  0.5000  0.5000  0.5000
Ga  0.0000  0.0000  0.5000
Ga  0.0000  0.5000  0.0000
Ga  0.5000  0.0000  0.0000

=====

The data favor a; the next most stable structure lies 0.174 eV/atom above it.